A relaxed structure of GaCoCuNi, computed with PBE.

a = 4.043 Å, b = 4.043 Å, c = 4.043 Å
α = 60.00°, β = 60.00°, γ = 60.00°
Atoms (fractional coordinates):
Ni1 0.750 0.750 0.750
Cu1 0.000 0.000 0.000
Ga1 0.250 0.250 0.250
Co1 0.500 0.500 0.500

Output
- space group = No. 216
- E_tot (eV per atom) = -4.923
- excess energy over the best structure of this formula in the dataset (eV per atom) = 0.085

***

A relaxed structure of Sr2AlOsSe6, computed with PBE.

a = 7.266 Å, b = 7.266 Å, c = 7.266 Å
α = 125.84°, β = 125.84°, γ = 80.15°
Last column: magnetic moment on the atom in μB.
Atoms (fractional coordinates):
Se1 0.335 0.161 0.496  0.03
Se2 0.266 0.266 0.000  0.08
Se3 0.161 0.665 0.825  0.03
Se4 0.839 0.335 0.175  0.03
Se5 0.665 0.839 0.504  0.03
Se6 0.734 0.734 0.000  0.08
Al1 0.000 0.000 0.000  0.01
Os1 0.500 0.500 0.000  0.98
Sr1 0.750 0.250 0.500  0.01
Sr2 0.250 0.750 0.500  0.01

Output
- space group = No. 87
- E_tot (eV per atom) = -4.737
- excess energy over the best structure of this formula in the dataset (eV per atom) = 0.001

***

A relaxed structure of Tl2GaIr, computed with PBE.

a = 4.941 Å, b = 4.941 Å, c = 4.941 Å
α = 60.00°, β = 60.00°, γ = 60.00°
Atoms (fractional coordinates):
Ir1 0.500 0.500 0.500
Tl1 0.250 0.250 0.250
Tl2 0.000 0.000 0.000
Ga1 0.750 0.750 0.750

Output
- space group = No. 216
- E_tot (eV per atom) = -3.676

***

A relaxed structure of Sb2Ir3Pt, computed with PBE.

a = 3.941 Å, b = 3.941 Å, c = 6.836 Å
α = 90.00°, β = 90.00°, γ = 90.00°
Atoms (fractional coordinates):
Ir1 0.500 0.000 0.640
Ir2 0.000 0.500 0.360
Ir3 0.500 0.500 0.000
Pt1 0.000 0.000 0.000
Sb1 0.500 0.000 0.269
Sb2 0.000 0.500 0.731

Output
- space group = No. 115
- E_tot (eV per atom) = -6.622

***

A relaxed structure of PrTm2Cd4In2, computed with PBE.

a = 4.652 Å, b = 7.535 Å, c = 7.535 Å
α = 121.03°, β = 90.00°, γ = 90.00°
Atoms (fractional coordinates):
Cd1 0.500 0.756 0.756
Cd2 0.000 0.988 0.988
Cd3 0.500 0.241 0.001
Cd4 0.500 0.001 0.241
In1 0.500 0.332 0.674
In2 0.500 0.674 0.332
Tm1 0.000 0.004 0.576
Tm2 0.000 0.576 0.004
Pr1 0.000 0.427 0.427

Output
- space group = No. 38
- E_tot (eV per atom) = -2.911

***

A relaxed structure of NpSnSb, computed with PBE.

a = 5.113 Å, b = 5.113 Å, c = 5.113 Å
α = 60.00°, β = 60.00°, γ = 60.00°
Last column: magnetic moment on the atom in μB.
Atoms (fractional coordinates):
Np1 0.000 0.000 0.000  3.86
Sb1 0.250 0.250 0.250  -0.03
Sn1 0.750 0.750 0.750  0.01

Output
- space group = No. 216
- E_tot (eV per atom) = -6.802

***

A relaxed structure of K2TbWN4, computed with PBE.

a = 6.142 Å, b = 6.142 Å, c = 6.142 Å
α = 121.83°, β = 121.83°, γ = 86.85°
Last column: magnetic moment on the atom in μB.
Atoms (fractional coordinates):
K1 0.500 0.500 0.000  0.00
K2 0.750 0.250 0.500  0.00
N1 0.276 0.414 0.425  0.19
N2 0.586 0.011 0.862  0.18
N3 0.149 0.724 0.138  0.18
N4 0.989 0.851 0.575  0.19
Tb1 0.000 0.000 0.000  0.03
W1 0.250 0.750 0.500  -0.09

Output
- space group = No. 82
- E_tot (eV per atom) = -7.210

***

A relaxed structure of UHgPd, computed with PBE.

a = 4.838 Å, b = 4.838 Å, c = 4.838 Å
α = 60.00°, β = 60.00°, γ = 60.00°
Atoms (fractional coordinates):
U1 0.000 0.000 0.000
Hg1 0.250 0.250 0.250
Pd1 0.750 0.750 0.750

Output
- space group = No. 216
- E_tot (eV per atom) = -5.095